Compound: ThAlCd2Cu2
Source: Alexandria
Functional: PBE
Structure: relaxed

Geometry as POSCAR:
```
ThAlCd2Cu2
1.0
-2.485 2.485 5.379
2.485 -2.485 5.379
2.485 2.485 -5.379
Th Al Cd Cu
1 1 2 2
Cartesian
0.000 0.000 0.000
0.000 0.000 5.379
2.485 0.000 2.689
0.000 2.485 2.689
0.000 0.000 3.060
0.000 0.000 7.697
```

Output
The calculation puts the formation energy at 17.9 kJ per mole of atoms. The spin magnetization comes out at 0.0 μB/f.u. The total energy is -3.34 eV per atom. Its space group is I4/mmm, No. 139. The density is 7.634 g cm⁻³.